Record 1
VASP calculation (PBE) on Cd3As after structural relaxation.

**Formation enthalpy at 0 K**: 162 meV/atom
**Total magnetization**: 0.000 μB/cell
**Symmetry**: Fm-3m, No. 225
**Relative energy among the computed polymorphs**: 141.9 meV/atom

```
Cd3As
1.0
7.1380 0.0000 0.0000
0.0000 7.1380 0.0000
0.0000 0.0000 7.1380
Cd As
12 4
Cartesian
0.0000 0.0000 0.0000
0.0000 3.5690 3.5690
1.7845 1.7845 1.7845
1.7845 1.7845 5.3535
1.7845 5.3535 1.7845
1.7845 5.3535 5.3535
3.5690 0.0000 3.5690
3.5690 3.5690 0.0000
5.3535 1.7845 1.7845
5.3535 1.7845 5.3535
5.3535 5.3535 1.7845
5.3535 5.3535 5.3535
0.0000 0.0000 3.5690
0.0000 3.5690 0.0000
3.5690 0.0000 0.0000
3.5690 3.5690 3.5690
```

Record 2
VASP calculation (PBE) on Cd3As after structural relaxation.

**Formation enthalpy at 0 K**: 100 meV/atom
**Total magnetization**: 0.000 μB/cell
**Symmetry**: Cmmm, No. 65
**Relative energy among the computed polymorphs**: 80.2 meV/atom

```
Cd3As
1.0
6.6352 0.0000 0.0000
0.0000 8.5900 0.0000
0.0000 0.0000 3.0699
Cd As
6 2
Cartesian
0.0000 0.0000 0.0000
1.6588 2.1475 1.5349
1.6588 6.4425 1.5349
3.3176 4.2950 0.0000
4.9764 2.1475 1.5349
4.9764 6.4425 1.5349
0.0000 4.2950 0.0000
3.3176 0.0000 0.0000
```

Record 3
VASP calculation (PBE) on Cd3As after structural relaxation.

**Formation enthalpy at 0 K**: 172 meV/atom
**Total magnetization**: 0.000 μB/cell
**Symmetry**: R-3m, No. 166
**Relative energy among the computed polymorphs**: 152.5 meV/atom

```
Cd3As
1.0
9.3057 0.0000 0.0000
-4.6528 8.0590 0.0000
0.0000 0.0000 3.7306
Cd As
9 3
Cartesian
-2.3264 4.0295 0.0000
0.0000 2.6863 1.2435
-2.3264 6.7158 1.2435
2.3264 1.3432 2.4871
4.6528 0.0000 0.0000
2.3264 4.0295 0.0000
2.3264 6.7158 1.2435
6.9793 1.3432 2.4871
4.6528 5.3726 2.4871
0.0000 0.0000 0.0000
0.0000 5.3726 2.4871
4.6528 2.6863 1.2435
```

Record 4
VASP calculation (PBE) on CdAs2 after structural relaxation.

**Formation enthalpy at 0 K**: 224 meV/atom
**Total magnetization**: 0.000 μB/cell
**Symmetry**: I4/mmm, No. 139

```
CdAs2
1.0
3.4477 0.0000 0.0000
0.0000 3.4477 0.0000
0.0000 0.0000 11.0264
Cd As
2 4
Cartesian
0.0000 0.0000 0.0000
1.7238 1.7238 5.5132
0.0000 0.0000 3.3424
0.0000 0.0000 7.6840
1.7238 1.7238 2.1708
1.7238 1.7238 8.8557
```

Record 5
VASP calculation (PBE) on Cd5As after structural relaxation.

**Formation enthalpy at 0 K**: 66 meV/atom
**Total magnetization**: 0.000 μB/cell
**Symmetry**: Cmmm, No. 65
**Relative energy among the computed polymorphs**: 9.7 meV/atom

```
Cd5As
1.0
4.4144 0.0000 0.0000
0.0000 13.3585 0.0000
0.0000 0.0000 4.5310
Cd As
10 2
Cartesian
0.0000 0.0000 0.0000
0.0000 2.2114 2.2655
0.0000 4.4483 0.0000
0.0000 8.9102 0.0000
0.0000 11.1472 2.2655
2.2072 2.2310 0.0000
2.2072 4.4679 2.2655
2.2072 6.6793 0.0000
2.2072 8.8906 2.2655
2.2072 11.1276 0.0000
0.0000 6.6793 2.2655
2.2072 0.0000 2.2655
```

Record 6
VASP calculation (PBE) on CdAs2 after structural relaxation.

**Formation enthalpy at 0 K**: 337 meV/atom
**Total magnetization**: 0.000 μB/cell
**Symmetry**: P-3m1, No. 164

```
CdAs2
1.0
3.0181 0.0000 0.0000
-1.5090 2.6137 0.0000
0.0000 0.0000 7.9865
Cd As
1 2
Cartesian
0.0000 0.0000 0.0000
0.0000 1.7425 2.5223
1.5090 0.8712 5.4643
```

Record 7
VASP calculation (PBE) on Cd3As after structural relaxation.

**Formation enthalpy at 0 K**: 120 meV/atom
**Total magnetization**: 0.000 μB/cell
**Symmetry**: P6_3/mmc, No. 194
**Relative energy among the computed polymorphs**: 100.1 meV/atom

```
Cd3As
1.0
6.1510 0.0000 0.0000
-3.0755 5.3269 0.0000
0.0000 0.0000 5.4457
Cd As
6 2
Cartesian
0.0000 1.7941 1.3614
-1.5217 4.4298 1.3614
1.5537 0.8971 4.0843
1.5217 4.4298 1.3614
4.5972 0.8971 4.0843
3.0755 3.5328 4.0843
0.0000 3.5513 4.0843
3.0755 1.7756 1.3614
```

Record 8
VASP calculation (PBE) on Cd2As after structural relaxation.

**Formation enthalpy at 0 K**: 130 meV/atom
**Total magnetization**: 0.000 μB/cell
**Symmetry**: Cmcm, No. 63
**Relative energy among the computed polymorphs**: 129.4 meV/atom

```
Cd2As
1.0
2.8373 0.0000 0.0000
0.0000 17.0060 0.0000
0.0000 0.0000 5.5822
Cd As
8 4
Cartesian
0.0000 1.3809 1.3955
0.0000 4.0821 4.1866
0.0000 12.9239 1.3955
0.0000 15.6251 4.1866
1.4187 4.4209 1.3955
1.4187 7.1221 4.1866
1.4187 9.8839 1.3955
1.4187 12.5851 4.1866
0.0000 7.1923 1.3955
0.0000 9.8137 4.1866
1.4187 1.3107 4.1866
1.4187 15.6952 1.3955
```

Record 9
VASP calculation (PBE) on Cd5As4 after structural relaxation.

**Formation enthalpy at 0 K**: 111 meV/atom
**Total magnetization**: 0.000 μB/cell
**Symmetry**: P6_3/mcm, No. 193

```
Cd5As4
1.0
8.7838 0.0000 0.0000
-4.3919 7.6070 0.0000
0.0000 0.0000 6.6229
Cd As
10 8
Cartesian
-1.0819 1.8740 1.6557
-3.3100 5.7330 4.9672
2.1639 0.0000 1.6557
1.0819 1.8740 4.9672
0.0000 5.0713 0.0000
0.0000 5.0713 3.3115
4.3919 2.5357 0.0000
4.3919 2.5357 3.3115
6.6199 0.0000 4.9672
3.3100 5.7330 1.6557
0.0000 0.0000 0.0000
0.0000 0.0000 3.3115
-2.0267 3.5104 4.9672
-2.3652 4.0966 1.6557
4.0535 0.0000 4.9672
2.0267 3.5104 1.6557
4.7303 0.0000 1.6557
2.3652 4.0966 4.9672
```

Record 10
VASP calculation (PBE) on Cd2As after structural relaxation.

**Formation enthalpy at 0 K**: 142 meV/atom
**Total magnetization**: 0.000 μB/cell
**Symmetry**: I4_1/amd, No. 141
**Relative energy among the computed polymorphs**: 141.1 meV/atom

```
Cd2As
1.0
3.2759 0.0000 0.0000
0.0000 3.2759 0.0000
0.0000 0.0000 25.6112
Cd As
8 4
Cartesian
0.0000 0.8190 7.6401
0.0000 0.8190 11.5683
0.0000 2.4569 14.0429
0.0000 2.4569 17.9712
1.6380 0.8190 1.2373
1.6380 0.8190 5.1655
1.6380 2.4569 20.4457
1.6380 2.4569 24.3740
0.0000 0.8190 22.4098
0.0000 2.4569 3.2014
1.6380 0.8190 16.0070
1.6380 2.4569 9.6042
```

Record 11
VASP calculation (PBE) on Cd3As after structural relaxation.

**Formation enthalpy at 0 K**: 106 meV/atom
**Total magnetization**: 0.000 μB/cell
**Symmetry**: Pmm2, No. 25
**Relative energy among the computed polymorphs**: 86.0 meV/atom

```
Cd3As
1.0
3.1761 0.0000 0.0000
0.0000 5.6186 0.0000
0.0000 0.0000 5.0570
Cd As
3 1
Cartesian
0.0000 0.0000 0.0000
0.0000 2.8093 1.2892
1.5881 2.8093 3.7939
1.5881 0.0000 2.5860
```

Record 12
VASP calculation (PBE) on Cd2As after structural relaxation.

**Formation enthalpy at 0 K**: 19 meV/atom
**Total magnetization**: 0.000 μB/cell
**Symmetry**: Cmc2_1, No. 36
**Relative energy among the computed polymorphs**: 17.8 meV/atom

```
Cd2As
1.0
4.8637 0.0000 0.0000
0.0000 7.2790 0.0000
0.0000 0.0000 8.2052
Cd As
8 4
Cartesian
0.0000 0.7227 0.0000
0.0000 2.9084 5.7925
0.0000 4.3706 1.6899
0.0000 6.5564 4.1026
2.4319 0.7311 1.6899
2.4319 2.9169 4.1026
2.4319 4.3622 0.0000
2.4319 6.5479 5.7925
0.0000 1.8230 2.8955
0.0000 5.4561 6.9981
2.4319 1.8166 6.9981
2.4319 5.4625 2.8955
```

Record 13
VASP calculation (PBE) on CdAs4 after structural relaxation.

**Formation enthalpy at 0 K**: 561 meV/atom
**Total magnetization**: 0.000 μB/cell
**Symmetry**: Im-3m, No. 229

```
CdAs4
1.0
6.2599 0.0000 0.0000
0.0000 6.2599 0.0000
0.0000 0.0000 6.2599
Cd As
2 8
Cartesian
0.0000 0.0000 0.0000
3.1300 3.1300 3.1300
1.5650 1.5650 1.5650
1.5650 1.5650 4.6949
1.5650 4.6949 1.5650
1.5650 4.6949 4.6949
4.6949 1.5650 1.5650
4.6949 1.5650 4.6949
4.6949 4.6949 1.5650
4.6949 4.6949 4.6949
```

Record 14
VASP calculation (PBE) on Cd5As after structural relaxation.

**Formation enthalpy at 0 K**: 83 meV/atom
**Total magnetization**: 0.000 μB/cell
**Symmetry**: P-62m, No. 189
**Relative energy among the computed polymorphs**: 27.0 meV/atom

```
Cd5As
1.0
5.2590 0.0000 0.0000
-2.6295 4.5544 0.0000
0.0000 0.0000 5.6665
Cd As
5 1
Cartesian
-1.7652 3.0574 0.0000
0.8643 1.4971 0.0000
0.0000 3.0363 2.8332
2.6295 1.5181 2.8332
3.5303 0.0000 0.0000
0.0000 0.0000 2.8332
```

Record 15
VASP calculation (PBE) on Cd3As after structural relaxation.

**Formation enthalpy at 0 K**: 97 meV/atom
**Total magnetization**: 0.000 μB/cell
**Symmetry**: Pmmm, No. 47
**Relative energy among the computed polymorphs**: 77.5 meV/atom

```
Cd3As
1.0
3.0717 0.0000 0.0000
0.0000 4.2595 0.0000
0.0000 0.0000 6.7357
Cd As
3 1
Cartesian
0.0000 0.0000 0.0000
1.5359 2.1298 1.7222
1.5359 2.1298 5.0134
0.0000 0.0000 3.3678
```

Record 16
VASP calculation (PBE) on Cd2As after structural relaxation.

**Formation enthalpy at 0 K**: 79 meV/atom
**Total magnetization**: 0.000 μB/cell
**Symmetry**: Cmcm, No. 63
**Relative energy among the computed polymorphs**: 78.0 meV/atom

```
Cd2As
1.0
4.1992 0.0000 0.0000
0.0000 14.1854 0.0000
0.0000 0.0000 4.5888
Cd As
8 4
Cartesian
0.0000 0.9442 1.1472
0.0000 3.6301 3.4416
0.0000 10.5552 1.1472
0.0000 13.2412 3.4416
2.0996 3.4626 1.1472
2.0996 6.1485 3.4416
2.0996 8.0369 1.1472
2.0996 10.7228 3.4416
0.0000 5.4303 1.1472
0.0000 8.7551 3.4416
2.0996 1.6624 3.4416
2.0996 12.5230 1.1472
```

Record 17
VASP calculation (PBE) on Cd5As after structural relaxation.

**Formation enthalpy at 0 K**: 56 meV/atom
**Total magnetization**: 0.000 μB/cell
**Symmetry**: Amm2, No. 38
**Relative energy among the computed polymorphs**: 0.0 meV/atom

```
Cd5As
1.0
5.5616 0.0000 0.0000
0.0000 2.9215 0.0000
0.0000 0.0000 16.6787
Cd As
10 2
Cartesian
0.0000 0.0000 0.0000
0.0000 0.0000 5.4668
0.0000 1.4608 8.3393
0.0000 1.4608 13.8061
2.7808 0.0000 2.7738
2.7808 0.0000 8.3308
2.7808 0.0000 13.9019
2.7808 1.4608 5.5625
2.7808 1.4608 11.1132
2.7808 1.4608 16.6701
0.0000 0.0000 11.0814
0.0000 1.4608 2.7421
```

Record 18
VASP calculation (PBE) on Cd3As after structural relaxation.

**Formation enthalpy at 0 K**: 129 meV/atom
**Total magnetization**: 0.000 μB/cell
**Symmetry**: P-6m2, No. 187
**Relative energy among the computed polymorphs**: 108.9 meV/atom

```
Cd3As
1.0
2.9854 0.0000 0.0000
-1.4927 2.5854 0.0000
0.0000 0.0000 11.5570
Cd As
3 1
Cartesian
0.0000 0.0000 0.0000
1.4927 0.8618 2.9919
1.4927 0.8618 8.5650
0.0000 0.0000 5.7785
```

Record 19
VASP calculation (PBE) on CdAs2 after structural relaxation.

**Formation enthalpy at 0 K**: 206 meV/atom
**Total magnetization**: 0.000 μB/cell
**Symmetry**: P4/mmm, No. 123

```
CdAs2
1.0
4.0281 0.0000 0.0000
0.0000 4.0281 0.0000
0.0000 0.0000 4.3192
Cd As
1 2
Cartesian
0.0000 0.0000 0.0000
0.0000 2.0140 2.1596
2.0140 0.0000 2.1596
```

Record 20
VASP calculation (PBE) on Cd3As after structural relaxation.

**Formation enthalpy at 0 K**: 88 meV/atom
**Total magnetization**: 0.000 μB/cell
**Symmetry**: Immm, No. 71
**Relative energy among the computed polymorphs**: 68.2 meV/atom

```
Cd3As
1.0
2.8811 0.0000 0.0000
0.0000 5.4246 0.0000
0.0000 0.0000 11.6695
Cd As
6 2
Cartesian
0.0000 0.0000 0.0000
0.0000 2.7123 2.7376
0.0000 2.7123 8.9319
1.4406 0.0000 3.0972
1.4406 0.0000 8.5723
1.4406 2.7123 5.8347
0.0000 0.0000 5.8347
1.4406 2.7123 0.0000
```